(1)
LaThAg4 | Alexandria | PBE-GGA | relaxed; magnetic moment = 0.0 μB/cell; ΔH_f (0 K) = -0.208 eV per atom; N(E_F) = 6.33 states/eV per cell; SG = Pmmm (47); offset from the most stable computed form = 0 meV per atom; E_tot = -25.00 eV/cell
1.0
3.477 -0.001 0.000
0.002 4.873 0.000
-0.001 0.000 8.491
Th La Ag
1 1 4
Direct
0.999 0.497 0.998
0.999 0.997 0.498
0.499 0.497 0.330
0.499 0.997 0.833
0.499 0.497 0.666
0.499 0.997 0.163

***

(2)
LaThAg4 | Alexandria | PBE-GGA | relaxed; magnetic moment = 0.0 μB/cell; ΔH_f (0 K) = -0.059 eV per atom; N(E_F) = 7.98 states/eV per cell; SG = F-43m (216); offset from the most stable computed form = 149 meV per atom; E_tot = -24.11 eV/cell
1.0
-5.547 -0.058 -1.714
-3.126 -4.872 0.450
-4.251 -0.368 3.937
Ag La Th
4 1 1
Direct
0.625 0.625 0.125
0.625 0.125 0.625
0.125 0.625 0.625
0.625 0.625 0.625
0.250 0.250 0.250
0.000 0.000 0.000

***

(3)
LaTh2Ag6 | Alexandria | PBE-GGA | relaxed; magnetic moment = 0.0 μB/cell; ΔH_f (0 K) = -0.185 eV per atom; N(E_F) = 8.91 states/eV per cell; SG = P6/mmm (191); E_tot = -38.54 eV/cell
1.0
3.424 0.000 0.000
0.000 7.347 -4.242
0.000 0.000 8.484
Ag Th La
6 2 1
Direct
0.500 0.334 0.000
0.500 0.666 0.666
0.500 0.000 0.666
0.500 0.334 0.334
0.500 0.000 0.334
0.500 0.666 0.000
0.000 0.333 0.667
0.000 0.667 0.333
0.000 0.000 0.000

***

(4)
La3ThAg2 | Alexandria | PBE-GGA | relaxed; magnetic moment = 0.0 μB/cell; ΔH_f (0 K) = -0.164 eV per atom; N(E_F) = 8.13 states/eV per cell; SG = P4/mmm (123); E_tot = -28.89 eV/cell
1.0
-0.756 0.132 3.652
-3.084 -2.023 -0.566
6.751 -10.795 1.788
Th La Ag
1 3 2
Direct
0.500 0.500 0.500
0.000 0.000 0.312
0.000 0.000 0.000
0.000 0.000 0.688
0.500 0.500 0.846
0.500 0.500 0.154

***

(5)
LaTh2Ag | Alexandria | PBE-GGA | relaxed; magnetic moment = 0.0 μB/cell; ΔH_f (0 K) = 0.029 eV per atom; N(E_F) = 4.02 states/eV per cell; SG = P4/mmm (123); offset from the most stable computed form = 0 meV per atom; E_tot = -22.50 eV/cell
1.0
3.680 0.000 0.000
0.000 3.680 0.000
0.000 0.000 8.942
Th La Ag
2 1 1
Direct
0.000 0.000 0.219
0.000 0.000 0.781
0.500 0.500 0.500
0.500 0.500 0.000

***

(6)
LaThTlAg | Alexandria | PBE-GGA | relaxed; magnetic moment = 0.1 μB/cell; ΔH_f (0 K) = -0.166 eV per atom; N(E_F) = 4.91 states/eV per cell; SG = F-43m (216); E_tot = -18.23 eV/cell
1.0
-1.594 -5.208 0.457
1.889 -3.086 4.096
-3.338 -1.489 4.063
Ag Tl Th La
1 1 1 1
Direct
0.250 0.250 0.250
0.750 0.750 0.750
0.000 0.000 0.000
0.500 0.500 0.500

***

(7)
LaTmThAg | Alexandria | PBE-GGA | relaxed; magnetic moment = 0.0 μB/cell; ΔH_f (0 K) = -0.137 eV per atom; N(E_F) = 5.07 states/eV per cell; SG = P4mm (99); E_tot = -20.22 eV/cell
1.0
-0.829 0.393 -3.518
1.243 -3.351 -0.667
-7.938 -3.245 1.507
La Tm Ag Th
1 1 1 1
Direct
0.000 0.000 0.095
0.000 0.000 0.538
0.500 0.500 0.344
0.500 0.500 0.808

***

(8)
LaTiAg | Alexandria | PBE-GGA | relaxed; magnetic moment = 0.0 μB/cell; ΔH_f (0 K) = 0.134 eV per atom; N(E_F) = 6.79 states/eV per cell; SG = P-1 (2); offset from the most stable computed form = 78 meV per atom; E_tot = -30.54 eV/cell
1.0
5.476 0.074 -0.022
1.764 4.119 0.015
-1.028 0.416 6.523
Ag Ti La
2 2 2
Direct
0.985 0.982 0.662
0.624 0.666 0.846
0.723 0.615 0.291
0.886 0.033 0.218
0.379 0.287 0.507
0.230 0.361 0.002

***

(9)
LaTiAg | Alexandria | PBE-GGA | relaxed; magnetic moment = 0.0 μB/cell; ΔH_f (0 K) = 0.142 eV per atom; N(E_F) = 6.51 states/eV per cell; SG = Cm (8); offset from the most stable computed form = 86 meV per atom; E_tot = -30.50 eV/cell
1.0
-0.271 -2.122 -4.346
3.564 -4.817 2.133
-4.202 -0.332 3.124
La Ag Ti
2 2 2
Direct
0.535 0.587 0.471
0.896 0.873 0.193
0.571 0.126 0.542
0.247 0.053 0.894
0.197 0.477 0.795
0.850 0.354 0.100

***

(10)
LaTi3Ag | Alexandria | PBE-GGA | relaxed; magnetic moment = 2.5 μB/cell; ΔH_f (0 K) = 0.786 eV per atom; N(E_F) = 11.78 states/eV per cell; SG = Pm-3m (221); offset from the most stable computed form = 0 meV per atom; E_tot = -27.53 eV/cell
1.0
5.006 0.000 0.000
0.000 5.006 0.000
0.000 0.000 5.006
Ti La Ag
3 1 1
Direct
0.500 0.000 0.000
0.000 0.500 0.000
0.000 0.000 0.500
0.500 0.500 0.500
0.000 0.000 0.000

***

(11)
LaTiAg3 | Alexandria | PBE-GGA | relaxed; magnetic moment = 0.0 μB/cell; ΔH_f (0 K) = 1.340 eV per atom; N(E_F) = 11.59 states/eV per cell; SG = Pm-3m (221); offset from the most stable computed form = 943 meV per atom; E_tot = -14.68 eV/cell
1.0
-0.846 -2.894 -4.465
-0.616 -4.437 2.993
-5.285 0.981 0.366
Ti La Ag
1 1 3
Direct
0.500 0.500 0.500
0.000 0.000 0.000
0.500 0.000 0.000
0.000 0.500 0.000
0.000 0.000 0.500

***

(12)
LaTiAg | Alexandria | PBE-GGA | relaxed; magnetic moment = 7.3 μB/cell; ΔH_f (0 K) = 0.236 eV per atom; N(E_F) = 17.27 states/eV per cell; SG = P6_3/mmc (194); offset from the most stable computed form = 181 meV per atom; E_tot = -59.86 eV/cell
1.0
-6.545 1.637 -5.197
-3.011 -6.032 1.892
-2.332 2.314 3.666
Ti Ag La
4 4 4
Direct
0.167 0.750 0.500
0.667 0.750 0.000
0.333 0.250 0.000
0.833 0.250 0.500
0.667 0.250 0.000
0.333 0.750 0.000
0.833 0.750 0.500
0.167 0.250 0.500
0.500 0.500 0.500
0.000 0.500 0.000
0.500 0.000 0.500
0.000 0.000 0.000

***

(13)
LaTiAg | Alexandria | PBE-GGA | relaxed; magnetic moment = 0.0 μB/cell; ΔH_f (0 K) = 0.106 eV per atom; N(E_F) = 8.38 states/eV per cell; SG = Cm (8); offset from the most stable computed form = 50 meV per atom; E_tot = -30.71 eV/cell
1.0
3.273 0.001 0.002
-1.639 5.698 -0.002
3.269 -2.921 7.540
Ag La Ti
2 2 2
Direct
0.589 0.383 0.628
0.888 0.616 0.945
0.238 0.997 0.286
0.740 0.997 0.784
0.075 0.375 0.137
0.404 0.614 0.428